Crystalline Y2MgGePb at its relaxed geometry. Source: Alexandria, functional PBE.

Values from the calculation:
- total energy (eV per atom) = -4.029
- total magnetic moment (μB/atom) = 0.0000
- density of states at the Fermi level (states/eV/f.u.) = 3.0
- space group = P4/mmm (123)

Structure (POSCAR):
```
Y2MgGePb
1.0
-1.371 3.091 -4.390
-4.500 1.079 2.165
2.237 4.448 2.434
Mg Y Ge Pb
1 2 1 1
Direct
0.000 0.000 0.000
0.000 0.000 0.500
0.500 0.000 0.000
0.500 0.500 0.500
0.000 0.500 0.000
```